Entry 1:
Density functional theory data (GGA-PBE) for a geometry-optimized Nd4DyY5 structure.

a = 3.623 Å, b = 3.623 Å, c = 25.380 Å
α = 90.00°, β = 90.00°, γ = 90.00°
Element x y z (fractional)
Nd (0.000, 0.000, 0.399)
Nd (0.000, 0.000, 0.802)
Y (0.500, 0.500, 0.097)
Y (0.500, 0.500, 0.500)
Y (0.500, 0.500, 0.903)
Y (0.500, 0.500, 0.299)
Nd (0.000, 0.000, 0.601)
Y (0.500, 0.500, 0.701)
Nd (0.000, 0.000, 0.198)
Dy (0.000, 0.000, 0.000)

Computed properties:
ΔE to the lowest computed polymorph   0.000 eV/atom
Energy of formation   0.018 eV/atom
Space group   P4/mmm, No. 123

Entry 2:
Density functional theory data (GGA-PBE) for a geometry-optimized ZrCu2Au structure.

a = 4.195 Å, b = 2.981 Å, c = 5.405 Å
α = 73.77°, β = 90.00°, γ = 90.00°
Element x y z (fractional)
Cu (0.000, 0.190, 0.002)
Cu (0.500, 0.064, 0.243)
Au (0.500, 0.796, 0.784)
Zr (0.000, 0.451, 0.470)

Computed properties:
ΔE to the lowest computed polymorph   0.124 eV/atom
Energy of formation   -0.137 eV/atom
Space group   Pm, No. 6

Entry 3:
Density functional theory data (GGA-PBE) for a geometry-optimized ZnTc2Br structure.

a = 3.973 Å, b = 3.973 Å, c = 9.548 Å
α = 77.99°, β = 77.99°, γ = 90.00°
Element x y z (fractional)
Zn (0.500, 0.500, 0.000)
Br (0.000, 0.000, 0.000)
Tc (0.693, 0.125, 0.250)
Tc (0.057, 0.625, 0.250)
Zn (0.250, 0.750, 0.500)
Tc (0.875, 0.943, 0.750)
Tc (0.375, 0.307, 0.750)
Br (0.750, 0.250, 0.500)

Computed properties:
ΔE to the lowest computed polymorph   0.721 eV/atom
Space group   I-42d, No. 122

Entry 4:
Density functional theory data (GGA-PBE) for a geometry-optimized YSc2Ni2 structure.

a = 4.669 Å, b = 4.669 Å, c = 5.851 Å
α = 66.48°, β = 66.48°, γ = 90.00°
Last column: magnetic moment on the atom in μB.
Element x y z (fractional)
Ni (0.250, 0.750, 0.500)  -0.01
Ni (0.750, 0.250, 0.500)  -0.01
Sc (0.659, 0.659, 0.682)  0.07
Y (0.000, 0.000, 0.000)  0.01
Sc (0.341, 0.341, 0.318)  0.07

Computed properties:
ΔE to the lowest computed polymorph   0.241 eV/atom
Energy of formation   -0.101 eV/atom
Space group   I4/mmm, No. 139

Entry 5:
Density functional theory data (GGA-PBE) for a geometry-optimized Tl2RhPb structure.

a = 5.689 Å, b = 5.689 Å, c = 5.689 Å
α = 133.20°, β = 133.20°, γ = 68.34°
Element x y z (fractional)
Rh (0.000, 0.000, 0.000)
Tl (0.750, 0.250, 0.500)
Pb (0.500, 0.500, 0.000)
Tl (0.250, 0.750, 0.500)

Computed properties:
ΔE to the lowest computed polymorph   0.285 eV/atom
Energy of formation   0.325 eV/atom
Space group   I4/mmm, No. 139

Entry 6:
Density functional theory data (GGA-PBE) for a geometry-optimized PrTm2Al3 structure.

a = 3.599 Å, b = 3.599 Å, c = 10.986 Å
α = 90.00°, β = 90.00°, γ = 90.00°
Element x y z (fractional)
Al (0.000, 0.000, 0.315)
Al (0.000, 0.000, 0.685)
Pr (0.500, 0.500, 0.500)
Al (0.000, 0.000, 0.000)
Tm (0.500, 0.500, 0.841)
Tm (0.500, 0.500, 0.159)

Computed properties:
ΔE to the lowest computed polymorph   0.000 eV/atom
Energy of formation   -0.374 eV/atom
Space group   P4/mmm, No. 123

Entry 7:
Density functional theory data (GGA-PBE) for a geometry-optimized Pm5Sm4Er2 structure.

a = 6.998 Å, b = 6.984 Å, c = 9.532 Å
α = 79.65°, β = 68.47°, γ = 59.93°
Element x y z (fractional)
Sm (0.678, 0.143, 0.501)
Pm (0.000, 0.500, 0.500)
Sm (0.280, 0.288, 0.153)
Sm (0.322, 0.857, 0.499)
Pm (0.232, 0.162, 0.827)
Pm (0.768, 0.838, 0.173)
Pm (0.221, 0.838, 0.173)
Pm (0.779, 0.162, 0.827)
Sm (0.720, 0.712, 0.847)
Er (0.262, 0.632, 0.844)
Er (0.738, 0.368, 0.156)

Computed properties:
ΔE to the lowest computed polymorph   0.014 eV/atom
Energy of formation   0.155 eV/atom
Space group   C2/m, No. 12

Entry 8:
Density functional theory data (GGA-PBE) for a geometry-optimized BaTaBe structure.

a = 3.252 Å, b = 3.252 Å, c = 7.418 Å
α = 90.00°, β = 90.00°, γ = 120.00°
Element x y z (fractional)
Ba (0.000, 0.000, 0.029)
Be (0.333, 0.667, 0.374)
Ta (0.667, 0.333, 0.597)

Computed properties:
ΔE to the lowest computed polymorph   0.300 eV/atom
Energy of formation   1.053 eV/atom
Space group   P3m1, No. 156

Entry 9:
Density functional theory data (GGA-PBE) for a geometry-optimized BaCS structure.

a = 4.489 Å, b = 8.014 Å, c = 8.960 Å
α = 90.00°, β = 112.07°, γ = 90.00°
Element x y z (fractional)
C (0.623, 0.000, 0.224)
Ba (0.189, 0.774, 0.504)
Ba (0.189, 0.726, 0.004)
C (0.483, 0.000, 0.323)
S (0.721, 0.500, 0.559)
Ba (0.189, 0.226, 0.504)
S (0.721, 0.000, 0.059)
C (0.623, 0.500, 0.724)
S (0.886, 0.500, 0.218)
Ba (0.189, 0.274, 0.004)
C (0.483, 0.500, 0.823)
S (0.886, 0.000, 0.718)

Computed properties:
ΔE to the lowest computed polymorph   0.107 eV/atom
Space group   Cm, No. 8

Entry 10:
Density functional theory data (GGA-PBE) for a geometry-optimized LiMg8Cu4 structure.

a = 5.388 Å, b = 7.189 Å, c = 7.189 Å
α = 81.93°, β = 67.99°, γ = 67.99°
Element x y z (fractional)
Mg (0.284, 0.216, 0.216)
Mg (0.668, 0.332, 0.332)
Mg (0.716, 0.784, 0.784)
Li (0.000, 0.000, 0.000)
Mg (0.000, 0.668, 0.332)
Mg (0.500, 0.216, 0.784)
Cu (0.500, 0.500, 0.000)
Mg (0.332, 0.668, 0.668)
Cu (0.500, 0.000, 0.500)
Mg (0.000, 0.332, 0.668)
Cu (0.000, 0.000, 0.500)
Mg (0.500, 0.784, 0.216)
Cu (0.000, 0.500, 0.000)

Computed properties:
Energy of formation   -0.053 eV/atom
Space group   I4/mmm, No. 139

Entry 11:
Density functional theory data (GGA-PBE) for a geometry-optimized CaGdMgIn structure.

a = 5.417 Å, b = 5.417 Å, c = 5.417 Å
α = 60.00°, β = 60.00°, γ = 60.00°
Last column: magnetic moment on the atom in μB.
Element x y z (fractional)
Gd (0.250, 0.250, 0.250)  7.06
Mg (0.000, 0.000, 0.000)  0.00
Ca (0.750, 0.750, 0.750)  0.00
In (0.500, 0.500, 0.500)  -0.03

Computed properties:
Energy of formation   -0.318 eV/atom
Space group   F-43m, No. 216

Entry 12:
Density functional theory data (GGA-PBE) for a geometry-optimized NpUZn17 structure.

a = 6.794 Å, b = 6.794 Å, c = 6.794 Å
α = 82.76°, β = 82.76°, γ = 82.76°
Last column: magnetic moment on the atom in μB.
Element x y z (fractional)
Zn (0.000, 0.703, 0.297)  0.00
Zn (0.353, 0.353, 0.839)  0.00
Zn (0.647, 0.160, 0.647)  0.01
Zn (0.500, 0.000, 0.000)  0.00
Zn (0.101, 0.101, 0.101)  0.00
Zn (0.297, 0.000, 0.703)  0.00
Zn (0.160, 0.647, 0.647)  0.01
Zn (0.000, 0.297, 0.703)  0.00
Zn (0.000, 0.500, 0.000)  0.00
Zn (0.839, 0.353, 0.353)  0.00
Zn (0.297, 0.703, 0.000)  0.00
Zn (0.000, 0.000, 0.500)  0.00
Zn (0.353, 0.839, 0.353)  0.00
Zn (0.647, 0.647, 0.160)  0.01
Zn (0.899, 0.899, 0.899)  0.00
Zn (0.703, 0.297, 0.000)  0.00
Np (0.337, 0.337, 0.337)  3.95
U (0.663, 0.663, 0.663)  2.47
Zn (0.703, 0.000, 0.297)  0.00

Computed properties:
Energy of formation   -0.054 eV/atom
Space group   R3m, No. 160